Model P:
B5C7: relaxed, PBE.

The structure in POSCAR format:
```
B5C7
1.0
2.4375 0.0000 0.0000
0.0000 2.5377 0.0000
0.0000 0.0000 12.6184
B C
5 7
Direct
0.0000 0.0000 0.0000
0.0000 0.0000 0.3116
0.0000 0.0000 0.6874
0.5000 0.0000 0.5792
0.5000 0.5000 0.4754
0.0000 0.5000 0.0791
0.0000 0.5000 0.3889
0.0000 0.5000 0.7667
0.5000 0.0000 0.2205
0.5000 0.0000 0.9081
0.5000 0.5000 0.1513
0.5000 0.5000 0.8392
```

Calculated values
DOS at the Fermi energy, states/eV/atom: 0.118
Crystal system: orthorhombic

---

Model Q:
B5C7: relaxed, PBE.

The structure in POSCAR format:
```
B5C7
1.0
6.7568 -1.2775 0.0000
6.7568 1.2775 0.0000
-1.1428 0.0000 4.5910
B C
5 7
Direct
0.0000 0.0000 0.0000
0.1703 0.1703 0.1869
0.3052 0.3052 0.9679
0.5262 0.5262 0.5343
0.8701 0.8701 0.2279
0.1789 0.1789 0.8570
0.3559 0.3559 0.6859
0.4711 0.4711 0.7960
0.6533 0.6533 0.6707
0.7010 0.7010 0.4042
0.8180 0.8180 0.5058
0.9941 0.9941 0.3180
```

Calculated values
DOS at the Fermi energy, states/eV/atom: 0.096
Crystal system: monoclinic

---

Relative energy of each structure, in meV/atom: model P 24; model Q 0.

---

Model P:
LiYBr2: relaxed, PBE.

The structure in POSCAR format:
```
LiYBr2
1.0
3.8905 0.0000 0.0000
-1.9452 3.3692 0.0000
0.0000 0.0000 25.8442
Li Y Br
3 3 6
Direct
0.0000 0.0000 0.0000
0.3333 0.6667 0.6667
0.6667 0.3333 0.3333
0.0000 0.0000 0.5000
0.3333 0.6667 0.1667
0.6667 0.3333 0.8333
0.0000 0.0000 0.3923
0.0000 0.0000 0.6077
0.3333 0.6667 0.0589
0.3333 0.6667 0.2744
0.6667 0.3333 0.7256
0.6667 0.3333 0.9411
```

Calculated values
DOS at the Fermi energy, states/eV/atom: 0.296
Crystal system: trigonal

---

Model Q:
LiYBr2: relaxed, PBE.

The structure in POSCAR format:
```
LiYBr2
1.0
7.3154 0.0000 0.0000
0.0000 8.8157 0.0000
-1.4959 0.0000 3.4106
Li Y Br
2 2 4
Direct
0.0000 0.0000 0.0000
0.5000 0.5000 0.0000
0.0000 0.5000 0.0000
0.5000 0.0000 0.0000
0.2500 0.2500 0.0000
0.2500 0.7500 0.0000
0.7500 0.2500 0.0000
0.7500 0.7500 0.0000
```

Calculated values
DOS at the Fermi energy, states/eV/atom: 0.668
Crystal system: monoclinic

---

Relative energy of each structure, in meV/atom: model P 0; model Q 234.

---

Model P:
AgSbRh2: relaxed, PBE.

The structure in POSCAR format:
```
AgSbRh2
1.0
3.2378 0.0000 0.0000
0.0000 3.2378 0.0000
0.0000 0.0000 6.3923
Ag Sb Rh
1 1 2
Direct
0.0000 0.0000 0.0000
0.0000 0.0000 0.5000
0.5000 0.5000 0.2706
0.5000 0.5000 0.7294
```

Calculated values
DOS at the Fermi energy, states/eV/atom: 0.599
Crystal system: tetragonal

---

Model Q:
AgSbRh2: relaxed, PBE.

The structure in POSCAR format:
```
AgSbRh2
1.0
4.2603 0.0000 0.0000
0.0000 4.2603 0.0000
0.0000 0.0000 3.6391
Ag Sb Rh
1 1 2
Direct
0.0000 0.0000 0.0000
0.5000 0.5000 0.0000
0.0000 0.5000 0.5000
0.5000 0.0000 0.5000
```

Calculated values
DOS at the Fermi energy, states/eV/atom: 0.471
Crystal system: tetragonal

---

Relative energy of each structure, in meV/atom: model P 9; model Q 0.